(1)
Material: Hf2MgPb
Method: DFT, PBE
State: optimized geometry

abc: 5.0620 5.0620 5.0620
angles: 60.00 60.00 60.00
Fractional positions:
Hf1 0.0000 0.0000 0.0000
Hf2 0.2500 0.2500 0.2500
Mg1 0.7500 0.7500 0.7500
Pb1 0.5000 0.5000 0.5000

Total energy in eV for the cell shown: -23.62
Space group: F-43m

=====

(2)
Material: SmTlZnS3
Method: DFT, PBE
State: optimized geometry

abc: 8.0766 4.0426 10.3305
angles: 90.00 107.93 90.00
Fractional positions:
Sm1 0.1953 0.2500 0.1366
Sm2 0.8047 0.7500 0.8634
Tl1 0.2270 0.7500 0.7116
Tl2 0.7730 0.2500 0.2884
Zn1 0.4264 0.7500 0.3925
Zn2 0.5736 0.2500 0.6075
S1 0.0442 0.2500 0.8587
S2 0.2886 0.2500 0.4379
S3 0.4431 0.7500 0.1715
S4 0.5569 0.2500 0.8285
S5 0.7114 0.7500 0.5621
S6 0.9558 0.7500 0.1413

Total energy in eV for the cell shown: -55.70
Space group: P2_1/m
ΔE to the lowest computed polymorph in meV/atom: 19.7